# BaYCl2 | the Alexandria database | PBE-GGA | relaxed
data_BaYCl2
_chemical_formula_sum 'Ba1 Y1 Cl2'
_cell_length_a 6.274
_cell_length_b 6.274
_cell_length_c 6.274
_cell_angle_alpha 145.59
_cell_angle_beta 110.26
_cell_angle_gamma 80.14
_space_group_name_H-M_alt 'P 1'
_space_group_IT_number 1
loop_
_space_group_symop_operation_xyz
'x,y,z'
loop_
_atom_site_label
_atom_site_fract_x
_atom_site_fract_y
_atom_site_fract_z
Y1 0.750 0.250 0.500
Cl1 0.532 0.532 0.000
Cl2 0.968 0.968 0.000
Ba1 0.250 0.750 0.500
# magnetization: 0.00 μB/f.u.
# D(E_F): 3.2 states/eV/f.u.
# V: 32.0 A^3/atom
# uncorrected formation energy: -1.370 eV per atom



# Ba2YCl | the Alexandria database | PBE-GGA | relaxed
data_Ba2YCl
_chemical_formula_sum 'Ba2 Y1 Cl1'
_cell_length_a 7.414
_cell_length_b 7.414
_cell_length_c 7.414
_cell_angle_alpha 147.89
_cell_angle_beta 118.99
_cell_angle_gamma 70.63
_space_group_name_H-M_alt 'P 1'
_space_group_IT_number 1
loop_
_space_group_symop_operation_xyz
'x,y,z'
loop_
_atom_site_label
_atom_site_fract_x
_atom_site_fract_y
_atom_site_fract_z
Cl1 0.750 0.250 0.500
Y1 0.250 0.750 0.500
Ba1 0.947 0.947 0.000
Ba2 0.553 0.553 0.000
# magnetization: 1.65 μB/f.u.
# D(E_F): 7.4 states/eV/f.u.
# V: 46.7 A^3/atom
# uncorrected formation energy: -0.403 eV per atom



# BaYCl2 | the Alexandria database | PBE-GGA | relaxed
data_BaYCl2
_chemical_formula_sum 'Ba1 Y1 Cl2'
_cell_length_a 3.990
_cell_length_b 3.990
_cell_length_c 7.633
_cell_angle_alpha 90.00
_cell_angle_beta 90.00
_cell_angle_gamma 90.00
_space_group_name_H-M_alt 'P 1'
_space_group_IT_number 1
loop_
_space_group_symop_operation_xyz
'x,y,z'
loop_
_atom_site_label
_atom_site_fract_x
_atom_site_fract_y
_atom_site_fract_z
Y1 0.000 0.000 0.392
Cl1 0.500 0.500 0.296
Cl2 0.000 0.000 0.017
Ba1 0.500 0.500 0.795
# magnetization: 0.98 μB/f.u.
# D(E_F): 2.9 states/eV/f.u.
# V: 30.4 A^3/atom
# uncorrected formation energy: -1.462 eV per atom



# BaYCl2 | the Alexandria database | PBE-GGA | relaxed
data_BaYCl2
_chemical_formula_sum 'Ba1 Y1 Cl2'
_cell_length_a 7.906
_cell_length_b 7.906
_cell_length_c 4.089
_cell_angle_alpha 90.02
_cell_angle_beta 90.02
_cell_angle_gamma 27.57
_space_group_name_H-M_alt 'P 1'
_space_group_IT_number 1
loop_
_space_group_symop_operation_xyz
'x,y,z'
loop_
_atom_site_label
_atom_site_fract_x
_atom_site_fract_y
_atom_site_fract_z
Cl1 0.174 0.174 0.375
Cl2 0.008 0.008 0.875
Ba1 0.803 0.803 0.875
Y1 0.515 0.515 0.375
# magnetization: 0.00 μB/f.u.
# D(E_F): 2.2 states/eV/f.u.
# V: 29.6 A^3/atom
# uncorrected formation energy: -1.369 eV per atom



# BaYCl2 | the Alexandria database | PBE-GGA | relaxed
data_BaYCl2
_chemical_formula_sum 'Ba1 Y1 Cl2'
_cell_length_a 4.423
_cell_length_b 3.936
_cell_length_c 6.792
_cell_angle_alpha 90.02
_cell_angle_beta 90.00
_cell_angle_gamma 90.00
_space_group_name_H-M_alt 'P 1'
_space_group_IT_number 1
loop_
_space_group_symop_operation_xyz
'x,y,z'
loop_
_atom_site_label
_atom_site_fract_x
_atom_site_fract_y
_atom_site_fract_z
Cl1 0.000 0.251 0.509
Cl2 0.000 0.249 0.991
Y1 0.500 0.250 0.250
Ba1 0.500 0.750 0.750
# magnetization: 0.00 μB/f.u.
# D(E_F): 2.6 states/eV/f.u.
# V: 29.6 A^3/atom
# uncorrected formation energy: -1.411 eV per atom



# Ba2YCl | the Alexandria database | PBE-GGA | relaxed
data_Ba2YCl
_chemical_formula_sum 'Ba2 Y1 Cl1'
_cell_length_a 4.166
_cell_length_b 4.166
_cell_length_c 11.232
_cell_angle_alpha 79.34
_cell_angle_beta 79.34
_cell_angle_gamma 60.01
_space_group_name_H-M_alt 'P 1'
_space_group_IT_number 1
loop_
_space_group_symop_operation_xyz
'x,y,z'
loop_
_atom_site_label
_atom_site_fract_x
_atom_site_fract_y
_atom_site_fract_z
Ba1 0.013 0.013 0.962
Ba2 0.487 0.487 0.538
Cl1 0.750 0.750 0.750
Y1 0.250 0.250 0.250
# magnetization: 1.12 μB/f.u.
# D(E_F): 4.7 states/eV/f.u.
# V: 41.2 A^3/atom
# uncorrected formation energy: -0.702 eV per atom



# BaYCl2 | the Alexandria database | PBE-GGA | relaxed
data_BaYCl2
_chemical_formula_sum 'Ba1 Y1 Cl2'
_cell_length_a 4.888
_cell_length_b 4.888
_cell_length_c 6.714
_cell_angle_alpha 77.12
_cell_angle_beta 77.12
_cell_angle_gamma 45.13
_space_group_name_H-M_alt 'P 1'
_space_group_IT_number 1
loop_
_space_group_symop_operation_xyz
'x,y,z'
loop_
_atom_site_label
_atom_site_fract_x
_atom_site_fract_y
_atom_site_fract_z
Ba1 0.750 0.750 0.750
Cl1 0.993 0.993 0.044
Cl2 0.507 0.507 0.456
Y1 0.250 0.250 0.250
# magnetization: 0.00 μB/f.u.
# D(E_F): 2.9 states/eV/f.u.
# V: 27.6 A^3/atom
# uncorrected formation energy: -1.377 eV per atom



# Ba2YCl | the Alexandria database | PBE-GGA | relaxed
data_Ba2YCl
_chemical_formula_sum 'Ba2 Y1 Cl1'
_cell_length_a 6.304
_cell_length_b 6.304
_cell_length_c 6.304
_cell_angle_alpha 60.00
_cell_angle_beta 60.00
_cell_angle_gamma 60.00
_space_group_name_H-M_alt 'P 1'
_space_group_IT_number 1
loop_
_space_group_symop_operation_xyz
'x,y,z'
loop_
_atom_site_label
_atom_site_fract_x
_atom_site_fract_y
_atom_site_fract_z
Y1 0.500 0.500 0.500
Ba1 0.750 0.750 0.750
Ba2 0.250 0.250 0.250
Cl1 0.000 0.000 0.000
# magnetization: 0.00 μB/f.u.
# D(E_F): 4.9 states/eV/f.u.
# V: 44.3 A^3/atom
# uncorrected formation energy: -0.082 eV per atom



# Ba2YCl | the Alexandria database | PBE-GGA | relaxed
data_Ba2YCl
_chemical_formula_sum 'Ba2 Y1 Cl1'
_cell_length_a 6.479
_cell_length_b 6.479
_cell_length_c 3.905
_cell_angle_alpha 90.13
_cell_angle_beta 90.13
_cell_angle_gamma 89.76
_space_group_name_H-M_alt 'P 1'
_space_group_IT_number 1
loop_
_space_group_symop_operation_xyz
'x,y,z'
loop_
_atom_site_label
_atom_site_fract_x
_atom_site_fract_y
_atom_site_fract_z
Ba1 0.500 0.500 0.000
Ba2 0.000 0.000 0.000
Y1 0.000 0.500 0.500
Cl1 0.500 0.000 0.500
# magnetization: 0.00 μB/f.u.
# D(E_F): 5.0 states/eV/f.u.
# V: 41.0 A^3/atom
# uncorrected formation energy: -0.427 eV per atom



# Ba2YCl | the Alexandria database | PBE-GGA | relaxed
data_Ba2YCl
_chemical_formula_sum 'Ba2 Y1 Cl1'
_cell_length_a 6.736
_cell_length_b 6.736
_cell_length_c 6.736
_cell_angle_alpha 130.78
_cell_angle_beta 130.78
_cell_angle_gamma 72.16
_space_group_name_H-M_alt 'P 1'
_space_group_IT_number 1
loop_
_space_group_symop_operation_xyz
'x,y,z'
loop_
_atom_site_label
_atom_site_fract_x
_atom_site_fract_y
_atom_site_fract_z
Y1 0.750 0.250 0.500
Cl1 0.250 0.750 0.500
Ba1 0.500 0.500 0.000
Ba2 0.000 0.000 0.000
# magnetization: 2.71 μB/f.u.
# D(E_F): 6.1 states/eV/f.u.
# V: 42.8 A^3/atom
# uncorrected formation energy: -0.095 eV per atom



# BaYCl2 | the Alexandria database | PBE-GGA | relaxed
data_BaYCl2
_chemical_formula_sum 'Ba1 Y1 Cl2'
_cell_length_a 3.560
_cell_length_b 3.561
_cell_length_c 8.272
_cell_angle_alpha 90.00
_cell_angle_beta 90.00
_cell_angle_gamma 90.00
_space_group_name_H-M_alt 'P 1'
_space_group_IT_number 1
loop_
_space_group_symop_operation_xyz
'x,y,z'
loop_
_atom_site_label
_atom_site_fract_x
_atom_site_fract_y
_atom_site_fract_z
Cl1 0.000 0.000 0.060
Cl2 0.000 0.000 0.440
Y1 0.500 0.500 0.250
Ba1 0.500 0.500 0.750
# magnetization: 0.47 μB/f.u.
# D(E_F): 2.7 states/eV/f.u.
# V: 26.2 A^3/atom
# uncorrected formation energy: -1.163 eV per atom



# BaYCl | the Alexandria database | PBE-GGA | relaxed
data_BaYCl
_chemical_formula_sum 'Ba1 Y1 Cl1'
_cell_length_a 8.445
_cell_length_b 8.056
_cell_length_c 3.833
_cell_angle_alpha 82.30
_cell_angle_beta 70.97
_cell_angle_gamma 26.73
_space_group_name_H-M_alt 'P 1'
_space_group_IT_number 1
loop_
_space_group_symop_operation_xyz
'x,y,z'
loop_
_atom_site_label
_atom_site_fract_x
_atom_site_fract_y
_atom_site_fract_z
Ba1 0.991 0.991 0.009
Y1 0.688 0.688 0.312
Cl1 0.321 0.321 0.679
# magnetization: 0.00 μB/f.u.
# D(E_F): 2.7 states/eV/f.u.
# V: 34.3 A^3/atom
# uncorrected formation energy: -0.789 eV per atom



# Ba2YCl | the Alexandria database | PBE-GGA | relaxed
data_Ba2YCl
_chemical_formula_sum 'Ba2 Y1 Cl1'
_cell_length_a 3.980
_cell_length_b 3.980
_cell_length_c 11.575
_cell_angle_alpha 90.00
_cell_angle_beta 90.00
_cell_angle_gamma 117.52
_space_group_name_H-M_alt 'P 1'
_space_group_IT_number 1
loop_
_space_group_symop_operation_xyz
'x,y,z'
loop_
_atom_site_label
_atom_site_fract_x
_atom_site_fract_y
_atom_site_fract_z
Cl1 0.000 0.000 0.524
Ba1 0.000 0.000 0.971
Ba2 0.500 0.500 0.301
Y1 0.500 0.500 0.704
# magnetization: 0.09 μB/f.u.
# D(E_F): 3.9 states/eV/f.u.
# V: 40.6 A^3/atom
# uncorrected formation energy: -0.539 eV per atom